Arrangement a

A relaxed Cu2TcAg crystal. Source: the Alexandria database, functional PBE.

Geometry as CIF:
```
data_Cu2TcAg
_symmetry_space_group_name_H-M 'P 1'
_symmetry_Int_Tables_number 1
_symmetry_space_group_name_Hall 'P 1'
_cell_length_a 2.6007
_cell_length_b 3.9392
_cell_length_c 5.5503
_cell_angle_alpha 90.00
_cell_angle_beta 90.00
_cell_angle_gamma 90.00
loop_
_atom_site_label
_atom_site_fract_x
_atom_site_fract_y
_atom_site_fract_z
Cu1 0.0000 0.0000 0.0086
Cu2 0.5000 0.5000 0.2542
Tc1 0.0000 0.0000 0.4752
Ag1 0.5000 0.5000 0.7620
```

Summary:
As for the magnetization: 0.00 μB/f.u.

Arrangement b

A relaxed Cu2TcAg crystal. Source: the Alexandria database, functional PBE.

Geometry as CIF:
```
data_Cu2TcAg
_symmetry_space_group_name_H-M 'P 1'
_symmetry_Int_Tables_number 1
_symmetry_space_group_name_Hall 'P 1'
_cell_length_a 3.7078
_cell_length_b 2.6523
_cell_length_c 6.3643
_cell_angle_alpha 65.52
_cell_angle_beta 90.00
_cell_angle_gamma 90.00
loop_
_atom_site_label
_atom_site_fract_x
_atom_site_fract_y
_atom_site_fract_z
Tc1 0.5000 0.2500 0.2500
Cu1 0.0000 0.9780 0.0211
Cu2 0.0000 0.5220 0.4789
Ag1 0.5000 0.7500 0.7500
```

Summary:
As for the magnetization: 0.00 μB/f.u.

Arrangement c

A relaxed Cu2TcAg crystal. Source: the Alexandria database, functional PBE.

Geometry as CIF:
```
data_Cu2TcAg
_symmetry_space_group_name_H-M 'P 1'
_symmetry_Int_Tables_number 1
_symmetry_space_group_name_Hall 'P 1'
_cell_length_a 4.5693
_cell_length_b 4.5693
_cell_length_c 5.0651
_cell_angle_alpha 83.12
_cell_angle_beta 83.12
_cell_angle_gamma 33.16
loop_
_atom_site_label
_atom_site_fract_x
_atom_site_fract_y
_atom_site_fract_z
Ag1 0.2500 0.2500 0.2500
Cu1 0.4973 0.4973 0.5209
Cu2 0.0027 0.0027 0.9791
Tc1 0.7500 0.7500 0.7500
```

Summary:
As for the magnetization: 0.13 μB/f.u.

Here is how they stack up, most stable first: arrangement b, arrangement c, arrangement a.

Arrangement a

A relaxed Cu2TcAg crystal. Source: the Alexandria database, functional PBE.

Geometry as CIF:
```
data_Cu2TcAg
_symmetry_space_group_name_H-M 'P 1'
_symmetry_Int_Tables_number 1
_symmetry_space_group_name_Hall 'P 1'
_cell_length_a 5.4051
_cell_length_b 5.4051
_cell_length_c 5.4051
_cell_angle_alpha 151.93
_cell_angle_beta 129.20
_cell_angle_gamma 59.04
loop_
_atom_site_label
_atom_site_fract_x
_atom_site_fract_y
_atom_site_fract_z
Ag1 0.2400 0.7400 0.5000
Cu1 0.9853 0.9853 0.0000
Cu2 0.7594 0.2594 0.5000
Tc1 0.5153 0.5153 0.0000
```

Summary:
As for the magnetization: 0.84 μB/f.u.

Arrangement b

A relaxed Cu2TcAg crystal. Source: the Alexandria database, functional PBE.

Geometry as CIF:
```
data_Cu2TcAg
_symmetry_space_group_name_H-M 'P 1'
_symmetry_Int_Tables_number 1
_symmetry_space_group_name_Hall 'P 1'
_cell_length_a 4.7640
_cell_length_b 4.7640
_cell_length_c 2.5854
_cell_angle_alpha 90.00
_cell_angle_beta 90.00
_cell_angle_gamma 104.86
loop_
_atom_site_label
_atom_site_fract_x
_atom_site_fract_y
_atom_site_fract_z
Cu1 0.0000 0.0000 0.0000
Cu2 0.5000 0.5000 0.0000
Tc1 0.5000 0.0000 0.5000
Ag1 0.0000 0.5000 0.5000
```

Summary:
As for the magnetization: 0.54 μB/f.u.

Arrangement c

A relaxed Cu2TcAg crystal. Source: the Alexandria database, functional PBE.

Geometry as CIF:
```
data_Cu2TcAg
_symmetry_space_group_name_H-M 'P 1'
_symmetry_Int_Tables_number 1
_symmetry_space_group_name_Hall 'P 1'
_cell_length_a 4.3547
_cell_length_b 4.3547
_cell_length_c 4.3547
_cell_angle_alpha 60.00
_cell_angle_beta 60.00
_cell_angle_gamma 60.00
loop_
_atom_site_label
_atom_site_fract_x
_atom_site_fract_y
_atom_site_fract_z
Cu1 0.0000 0.0000 0.0000
Cu2 0.2500 0.2500 0.2500
Tc1 0.7500 0.7500 0.7500
Ag1 0.5000 0.5000 0.5000
```

Summary:
As for the magnetization: 2.06 μB/f.u.

Arrangement d

A relaxed Cu2TcAg crystal. Source: the Alexandria database, functional PBE.

Geometry as CIF:
```
data_Cu2TcAg
_symmetry_space_group_name_H-M 'P 1'
_symmetry_Int_Tables_number 1
_symmetry_space_group_name_Hall 'P 1'
_cell_length_a 9.0242
_cell_length_b 9.0242
_cell_length_c 9.0242
_cell_angle_alpha 17.35
_cell_angle_beta 17.35
_cell_angle_gamma 17.35
loop_
_atom_site_label
_atom_site_fract_x
_atom_site_fract_y
_atom_site_fract_z
Tc1 0.5058 0.5058 0.5058
Ag1 0.7469 0.7469 0.7469
Cu1 0.9947 0.9947 0.9947
Cu2 0.2526 0.2526 0.2526
```

Summary:
As for the magnetization: 0.39 μB/f.u.

Here is how they stack up, most stable first: arrangement d, arrangement b, arrangement a, arrangement c.

Arrangement a

A relaxed Cu2TcAg crystal. Source: the Alexandria database, functional PBE.

Geometry as CIF:
```
data_Cu2TcAg
_symmetry_space_group_name_H-M 'P 1'
_symmetry_Int_Tables_number 1
_symmetry_space_group_name_Hall 'P 1'
_cell_length_a 9.0192
_cell_length_b 9.0192
_cell_length_c 9.0192
_cell_angle_alpha 17.38
_cell_angle_beta 17.38
_cell_angle_gamma 17.38
loop_
_atom_site_label
_atom_site_fract_x
_atom_site_fract_y
_atom_site_fract_z
Cu1 0.9970 0.9970 0.9970
Cu2 0.5030 0.5030 0.5030
Tc1 0.2500 0.2500 0.2500
Ag1 0.7500 0.7500 0.7500
```

Summary:
As for the magnetization: 0.20 μB/f.u.

Arrangement b

A relaxed Cu2TcAg crystal. Source: the Alexandria database, functional PBE.

Geometry as CIF:
```
data_Cu2TcAg
_symmetry_space_group_name_H-M 'P 1'
_symmetry_Int_Tables_number 1
_symmetry_space_group_name_Hall 'P 1'
_cell_length_a 4.7310
_cell_length_b 4.7310
_cell_length_c 4.7310
_cell_angle_alpha 131.76
_cell_angle_beta 131.76
_cell_angle_gamma 70.61
loop_
_atom_site_label
_atom_site_fract_x
_atom_site_fract_y
_atom_site_fract_z
Tc1 0.5000 0.5000 0.0000
Cu1 0.2500 0.7500 0.5000
Cu2 0.0000 0.0000 0.0000
Ag1 0.7500 0.2500 0.5000
```

Summary:
As for the magnetization: 1.91 μB/f.u.

Arrangement c

A relaxed Cu2TcAg crystal. Source: the Alexandria database, functional PBE.

Geometry as CIF:
```
data_Cu2TcAg
_symmetry_space_group_name_H-M 'P 1'
_symmetry_Int_Tables_number 1
_symmetry_space_group_name_Hall 'P 1'
_cell_length_a 4.2492
_cell_length_b 2.6126
_cell_length_c 5.2606
_cell_angle_alpha 75.66
_cell_angle_beta 90.00
_cell_angle_gamma 90.00
loop_
_atom_site_label
_atom_site_fract_x
_atom_site_fract_y
_atom_site_fract_z
Tc1 0.0000 0.4577 0.4596
Cu1 0.5000 0.0555 0.2661
Cu2 0.0000 0.1882 0.9968
Ag1 0.5000 0.7985 0.7774
```

Summary:
As for the magnetization: 0.00 μB/f.u.

Here is how they stack up, most stable first: arrangement a, arrangement c, arrangement b.